Entry 1:
The following is a GGA-PBE calculation of a relaxed AcPd3Pt crystal, from the Alexandria database.

Summary:
Distance to the lowest polymorph of the same formula, meV per atom: 0
DOS at the Fermi energy, states/eV/f.u.: 3.840
ΔE_f, eV per atom: -0.608

Cell lengths 5.305, 8.056, 9.583 Å; angles 90.00, 90.00, 90.00 degrees
Space group Imma (No. 74)
Unique sites:
Ac (0.000, 0.250, 0.006) (multiplicity 4)
Pd (0.000, 0.250, 0.686) (multiplicity 4)
Pd (0.250, 0.047, 0.250) (multiplicity 8)
Pt (0.000, 0.000, 0.500) (multiplicity 4)


Entry 2:
The following is a GGA-PBE calculation of a relaxed Ac3Pd2Pt crystal, from the Alexandria database.

Summary:
DOS at the Fermi energy, states/eV/f.u.: 3.890
ΔE_f, eV per atom: -0.918

Cell lengths 6.232, 13.256, 8.794 Å; angles 90.00, 90.00, 90.00 degrees
Space group P2_1/c (No. 14)
Unique sites:
Ac (0.249, 0.250, 0.375) (multiplicity 4)
Ac (0.250, 0.582, 0.372) (multiplicity 4)
Ac (0.250, 0.582, 0.878) (multiplicity 4)
Pd (0.250, 0.083, 0.125) (multiplicity 4)
Pd (0.251, 0.749, 0.625) (multiplicity 4)
Pt (0.250, 0.084, 0.626) (multiplicity 4)


Entry 3:
The following is a GGA-PBE calculation of a relaxed Ac8PdPt3 crystal, from the Alexandria database.

Summary:
DOS at the Fermi energy, states/eV/f.u.: 12.496
ΔE_f, eV per atom: -0.729

Cell lengths 8.9492, 8.9492, 20.2570 Å; angles 90.00, 90.00, 120.00 degrees
Space group R-3m (No. 166, hexagonal axes)
Unique sites:
Ac (0.0000, 0.0000, 0.2464) (multiplicity 6)
Ac (0.0026, 0.5013, 0.7534) (multiplicity 18)
Pd (0.0000, 0.0000, 0.5000) (multiplicity 3)
Pt (0.0000, 0.5000, 0.5000) (multiplicity 9)


Entry 4:
The following is a GGA-PBE calculation of a relaxed AcPd3Pt2 crystal, from the Alexandria database.

Summary:
Distance to the lowest polymorph of the same formula, meV per atom: 114
DOS at the Fermi energy, states/eV/f.u.: 5.262
ΔE_f, eV per atom: -0.440

Cell lengths 5.8659, 5.8659, 22.2892 Å; angles 90.00, 90.00, 120.00 degrees
Space group R-3m (No. 166, hexagonal axes)
Unique sites:
Ac (0.0000, 0.0000, 0.2185) (multiplicity 6)
Pd (0.0106, 0.5053, 0.2281) (multiplicity 18)
Pt (0.0000, 0.0000, 0.0000) (multiplicity 3)
Pt (0.0000, 0.5000, 0.0000) (multiplicity 9)


Entry 5:
The following is a GGA-PBE calculation of a relaxed Ac2Pd5Pt5 crystal, from the Alexandria database.

Summary:
DOS at the Fermi energy, states/eV/f.u.: 11.263
ΔE_f, eV per atom: -0.705

Cell lengths 4.491, 5.482, 9.454 Å; angles 90.00, 90.00, 90.00 degrees
Space group Pmmm (No. 47)
Unique sites:
Ac (0.000, 0.000, 0.000) (multiplicity 1)
Ac (0.000, 0.500, 0.500) (multiplicity 1)
Pd (0.000, 0.000, 0.332) (multiplicity 2)
Pd (0.000, 0.500, 0.167) (multiplicity 2)
Pd (0.500, 0.000, 0.500) (multiplicity 1)
Pt (0.500, 0.249, 0.249) (multiplicity 4)
Pt (0.500, 0.500, 0.000) (multiplicity 1)


Entry 6:
The following is a GGA-PBE calculation of a relaxed Ac5PdPt4 crystal, from the Alexandria database.

Summary:
DOS at the Fermi energy, states/eV/f.u.: 5.519
ΔE_f, eV per atom: -1.101

Cell lengths 4.398, 6.219, 21.950 Å; angles 90.00, 90.00, 90.00 degrees
Space group Immm (No. 71)
Unique sites:
Ac (0.000, 0.000, 0.000) (multiplicity 2)
Ac (0.000, 0.000, 0.200) (multiplicity 4)
Ac (0.000, 0.000, 0.398) (multiplicity 4)
Pd (0.000, 0.500, 0.000) (multiplicity 2)
Pt (0.000, 0.500, 0.200) (multiplicity 4)
Pt (0.000, 0.500, 0.401) (multiplicity 4)


Entry 7:
The following is a GGA-PBE calculation of a relaxed Ac3Pd2Pt crystal, from the Alexandria database.

Summary:
DOS at the Fermi energy, states/eV/f.u.: 4.000
ΔE_f, eV per atom: -0.917

Cell lengths 13.975, 6.230, 8.807 Å; angles 90.00, 108.44, 90.00 degrees
Space group C2/c (No. 15)
Unique sites:
Ac (0.000, 0.001, 0.250) (multiplicity 4)
Ac (0.163, 0.499, 0.082) (multiplicity 8)
Pd (0.168, 0.001, 0.584) (multiplicity 8)
Pt (0.000, 0.499, 0.750) (multiplicity 4)


Entry 8:
The following is a GGA-PBE calculation of a relaxed Ac8PdPt2 crystal, from the Alexandria database.

Summary:
DOS at the Fermi energy, states/eV/f.u.: 13.940
ΔE_f, eV per atom: -0.461

Cell lengths 9.218, 13.393, 6.979 Å; angles 90.00, 108.59, 90.00 degrees
Space group Cm (No. 8)
Unique sites:
Ac (0.000, 0.000, 0.000) (multiplicity 2)
Ac (0.075, 0.364, 0.811) (multiplicity 4)
Ac (0.146, 0.137, 0.564) (multiplicity 4)
Ac (0.224, 0.500, 0.397) (multiplicity 2)
Ac (0.358, 0.198, 0.187) (multiplicity 4)
Pd (0.379, 0.000, 0.429) (multiplicity 2)
Pt (0.363, 0.318, 0.703) (multiplicity 4)


Entry 9:
The following is a GGA-PBE calculation of a relaxed Ac5Pd2Pt5 crystal, from the Alexandria database.

Summary:
DOS at the Fermi energy, states/eV/f.u.: 5.557
ΔE_f, eV per atom: -1.023

Cell lengths 15.824, 4.239, 11.912 Å; angles 90.00, 128.14, 90.00 degrees
Space group C2/m (No. 12)
Unique sites:
Ac (0.000, 0.000, 0.000) (multiplicity 2)
Ac (0.104, 0.000, 0.419) (multiplicity 4)
Ac (0.198, 0.000, 0.824) (multiplicity 4)
Pd (0.139, 0.500, 0.254) (multiplicity 4)
Pt (0.000, 0.500, 0.500) (multiplicity 2)
Pt (0.079, 0.500, 0.874) (multiplicity 4)
Pt (0.222, 0.500, 0.659) (multiplicity 4)


Entry 10:
The following is a GGA-PBE calculation of a relaxed Ac2PdPt2 crystal, from the Alexandria database.

Summary:
Distance to the lowest polymorph of the same formula, meV per atom: 53
DOS at the Fermi energy, states/eV/f.u.: 3.273
ΔE_f, eV per atom: -0.955

Cell lengths 7.943, 7.943, 8.152 Å; angles 90.00, 90.00, 90.00 degrees
Space group P4/mnc (No. 128)
Unique sites:
Ac (0.177, 0.323, 0.000) (multiplicity 8)
Pd (0.000, 0.000, 0.248) (multiplicity 4)
Pt (0.128, 0.628, 0.250) (multiplicity 8)


Entry 11:
The following is a GGA-PBE calculation of a relaxed Ac2Pd3Pt crystal, from the Alexandria database.

Summary:
DOS at the Fermi energy, states/eV/f.u.: 3.870
ΔE_f, eV per atom: -0.843

Cell lengths 8.116, 9.203, 15.828 Å; angles 90.00, 90.00, 90.00 degrees
Space group Fmmm (No. 69)
Unique sites:
Ac (0.249, 0.000, 0.000) (multiplicity 8)
Ac (0.250, 0.250, 0.250) (multiplicity 8)
Pd (0.000, 0.000, 0.333) (multiplicity 8)
Pd (0.000, 0.250, 0.084) (multiplicity 16)
Pt (0.000, 0.000, 0.166) (multiplicity 8)


Entry 12:
The following is a GGA-PBE calculation of a relaxed Ac4Pd5Pt3 crystal, from the Alexandria database.

Summary:
DOS at the Fermi energy, states/eV/f.u.: 5.379
ΔE_f, eV per atom: -0.660

Cell lengths 13.526, 4.914, 10.641 Å; angles 90.00, 116.22, 90.00 degrees
Space group C2/m (No. 12)
Unique sites:
Ac (0.061, 0.000, 0.305) (multiplicity 4)
Ac (0.240, 0.500, 0.144) (multiplicity 4)
Pd (0.000, 0.500, 0.000) (multiplicity 2)
Pd (0.183, 0.500, 0.638) (multiplicity 4)
Pd (0.239, 0.500, 0.422) (multiplicity 4)
Pt (0.000, 0.000, 0.000) (multiplicity 2)
Pt (0.099, 0.500, 0.823) (multiplicity 4)


Entry 13:
The following is a GGA-PBE calculation of a relaxed Ac2Pd3Pt4 crystal, from the Alexandria database.

Summary:
DOS at the Fermi energy, states/eV/f.u.: 7.159
ΔE_f, eV per atom: -0.699

Cell lengths 5.753, 16.345, 7.845 Å; angles 90.00, 90.00, 90.00 degrees
Space group Cmce (No. 64)
Unique sites:
Ac (0.000, 0.108, 0.092) (multiplicity 8)
Pd (0.000, 0.000, 0.500) (multiplicity 4)
Pd (0.250, 0.244, 0.750) (multiplicity 8)
Pt (0.000, 0.166, 0.497) (multiplicity 8)
Pt (0.250, 0.072, 0.750) (multiplicity 8)


Entry 14:
The following is a GGA-PBE calculation of a relaxed Ac6PdPt5 crystal, from the Alexandria database.

Summary:
DOS at the Fermi energy, states/eV/f.u.: 6.201
ΔE_f, eV per atom: -1.114

Cell lengths 7.615, 13.176, 7.615 Å; angles 90.00, 109.54, 90.00 degrees
Space group C2/m (No. 12)
Unique sites:
Ac (0.248, 0.000, 0.252) (multiplicity 4)
Ac (0.248, 0.168, 0.748) (multiplicity 8)
Pd (0.000, 0.500, 0.000) (multiplicity 2)
Pt (0.000, 0.000, 0.500) (multiplicity 2)
Pt (0.000, 0.167, 0.000) (multiplicity 4)
Pt (0.000, 0.334, 0.500) (multiplicity 4)


Entry 15:
The following is a GGA-PBE calculation of a relaxed Ac8Pd2Pt3 crystal, from the Alexandria database.

Summary:
DOS at the Fermi energy, states/eV/f.u.: 10.808
ΔE_f, eV per atom: -0.802

Cell lengths 15.371, 8.895, 7.523 Å; angles 90.00, 110.20, 90.00 degrees
Space group C2/m (No. 12)
Unique sites:
Ac (0.118, 0.000, 0.242) (multiplicity 4)
Ac (0.122, 0.500, 0.230) (multiplicity 4)
Ac (0.124, 0.242, 0.760) (multiplicity 8)
Pd (0.248, 0.500, 0.990) (multiplicity 4)
Pt (0.000, 0.000, 0.500) (multiplicity 2)
Pt (0.000, 0.253, 0.000) (multiplicity 4)


Entry 16:
The following is a GGA-PBE calculation of a relaxed Ac2Pd3Pt crystal, from the Alexandria database.

Summary:
DOS at the Fermi energy, states/eV/f.u.: 4.153
ΔE_f, eV per atom: -0.844

Cell lengths 4.041, 4.619, 7.909 Å; angles 90.00, 90.00, 90.00 degrees
Space group Pmm2 (No. 25)
Unique sites:
Ac (0.000, 0.000, 0.000) (multiplicity 1)
Ac (0.000, 0.500, 0.492) (multiplicity 1)
Pd (0.500, 0.000, 0.663) (multiplicity 1)
Pd (0.500, 0.500, 0.163) (multiplicity 1)
Pd (0.500, 0.500, 0.826) (multiplicity 1)
Pt (0.500, 0.000, 0.330) (multiplicity 1)


Entry 17:
The following is a GGA-PBE calculation of a relaxed Ac6Pd3Pt crystal, from the Alexandria database.

Summary:
DOS at the Fermi energy, states/eV/f.u.: 8.842
ΔE_f, eV per atom: -0.700

Cell lengths 7.379, 8.111, 13.574 Å; angles 90.00, 122.34, 90.00 degrees
Space group P2_1/c (No. 14)
Unique sites:
Ac (0.089, 0.055, 0.249) (multiplicity 4)
Ac (0.252, 0.681, 0.082) (multiplicity 4)
Ac (0.407, 0.178, 0.079) (multiplicity 4)
Pd (0.312, 0.113, 0.755) (multiplicity 4)
Pd (0.500, 0.000, 0.500) (multiplicity 2)
Pt (0.000, 0.000, 0.000) (multiplicity 2)


Entry 18:
The following is a GGA-PBE calculation of a relaxed Ac2Pd15Pt2 crystal, from the Alexandria database.

Summary:
DOS at the Fermi energy, states/eV/f.u.: 25.025
ΔE_f, eV per atom: -0.348

Cell lengths 9.2723, 9.2723, 13.6932 Å; angles 90.00, 90.00, 120.00 degrees
Space group R-3m (No. 166, hexagonal axes)
Unique sites:
Ac (0.0000, 0.0000, 0.1646) (multiplicity 6)
Pd (0.0000, 0.2960, 0.5000) (multiplicity 18)
Pd (0.0000, 0.5000, 0.0000) (multiplicity 9)
Pd (0.0027, 0.5014, 0.6530) (multiplicity 18)
Pt (0.0000, 0.0000, 0.3995) (multiplicity 6)


Entry 19:
The following is a GGA-PBE calculation of a relaxed AcPdPt crystal, from the Alexandria database.

Summary:
Distance to the lowest polymorph of the same formula, meV per atom: 290
DOS at the Fermi energy, states/eV/f.u.: 1.511
ΔE_f, eV per atom: -0.616

Cell lengths 5.0079, 5.0079, 20.5815 Å; angles 90.00, 90.00, 120.00 degrees
Space group R-3m (No. 166, hexagonal axes)
Unique sites:
Ac (0.0000, 0.0000, 0.2271) (multiplicity 6)
Pd (0.0000, 0.0000, 0.3676) (multiplicity 6)
Pt (0.0000, 0.0000, 0.0666) (multiplicity 6)